[1]
First-principles (PBE) data for a relaxed Pa2Al3Pd crystal, as listed in Alexandria.

a = 5.6404 Å, b = 5.6404 Å, c = 8.3991 Å
α = 90.00°, β = 90.00°, γ = 120.00°
Atoms (fractional coordinates):
Pa 0.6667 0.3333 0.0882
Pa 0.6667 0.3333 0.4118
Pa 0.3333 0.6667 0.5882
Pa 0.3333 0.6667 0.9118
Al 0.6636 0.8318 0.2500
Al 0.1682 0.3364 0.2500
Al 0.3364 0.1682 0.7500
Al 0.8318 0.1682 0.7500
Al 0.8318 0.6636 0.7500
Al 0.1682 0.8318 0.2500
Pd 0.0000 0.0000 0.0000
Pd 0.0000 0.0000 0.5000

## Properties
Energy of formation, eV/f.u.: -3.00
Space-group type: P6_3/mmc
Density of states at the Fermi level, states/eV/cell: 13.2
Magnetic moment, μB per cell: 0.00

=====

[2]
First-principles (PBE) data for a relaxed CeYTe2 crystal, as listed in Alexandria.

a = 6.2666 Å, b = 6.2666 Å, c = 7.6633 Å
α = 114.13°, β = 114.13°, γ = 90.00°
Last column: magnetic moment on the atom in μB.
Atoms (fractional coordinates):
Y 0.5000 0.5000 0.0000  0.05
Y 0.2500 0.7500 0.5000  0.05
Te 0.7464 0.7464 0.4929  -0.01
Te 0.4964 0.9964 0.9929  -0.01
Te 0.2536 0.2536 0.5071  -0.01
Te 0.0036 0.5036 0.0071  -0.01
Ce 0.0000 0.0000 0.0000  0.99
Ce 0.7500 0.2500 0.5000  0.99

## Properties
Space-group type: I4_1/amd
Density of states at the Fermi level, states/eV/cell: 15.4
Magnetic moment, μB per cell: 2.62
Raw formation energy, meV per atom: -1340.3

=====

[3]
First-principles (PBE) data for a relaxed ReNi crystal, as listed in Alexandria.

a = 2.7218 Å, b = 2.7218 Å, c = 8.3171 Å
α = 90.00°, β = 90.00°, γ = 120.00°
Last column: magnetic moment on the atom in μB.
Atoms (fractional coordinates):
Ni 0.0000 0.0000 0.0059  0.27
Ni 0.3333 0.6667 0.2441  0.27
Re 0.3333 0.6667 0.7574  0.07
Re 0.0000 0.0000 0.4926  0.07

## Properties
Energy of formation, eV/f.u.: 0.21
Space-group type: P-3m1
Density of states at the Fermi level, states/eV/cell: 6.5
Magnetic moment, μB per cell: 0.70

=====

[4]
First-principles (PBE) data for a relaxed CsRbCdHg crystal, as listed in Alexandria.

a = 5.3320 Å, b = 5.3320 Å, c = 9.3257 Å
α = 90.15°, β = 106.46°, γ = 120.00°
Atoms (fractional coordinates):
Hg 0.8349 0.2819 0.1168
Cd 0.5020 0.6154 0.1173
Cs 0.3554 0.0435 0.3989
Rb 0.9998 0.8637 0.8635

## Properties
Energy of formation, eV/f.u.: -0.58
Space-group type: Cm
Density of states at the Fermi level, states/eV/cell: 2.1
Magnetic moment, μB per cell: 0.00